1.
First-principles (PBE) data for crystalline Hf2TiGa at its relaxed geometry, as listed in the Alexandria database.

It has space group R-3m (No. 166, hexagonal axes), with a = 3.1207 Å, b = 3.1207 Å, c = 28.3160 Å, α = 90.00°, β = 90.00° and γ = 120.00°. The distinct sites, in fractional coordinates, are Hf at (0.0000, 0.0000, 0.2495), Ti at (0.0000, 0.0000, 0.0000) and Ga at (0.0000, 0.0000, 0.5000).

The density of states at the Fermi level is 14.4 states/eV per cell. As for the electronic total energy: -7.80 eV per atom. The size of the total moment comes out at 0.00 μB per formula unit.

***

2.
First-principles (PBE) data for crystalline Hf3TiGa4 at its relaxed geometry, as listed in the Alexandria database.

It has space group Pmn2_1 (No. 31), with a = 9.036 Å, b = 5.644 Å, c = 5.646 Å, α = 90.00°, β = 90.00° and γ = 90.00°. The distinct sites, in fractional coordinates, are Hf at (0.000, 0.030, 0.000), Hf at (0.250, 0.260, 0.277), Ti at (0.000, 0.480, 0.549), Ga at (0.000, 0.522, 0.045), Ga at (0.000, 0.987, 0.508) and Ga at (0.231, 0.757, 0.276).

The density of states at the Fermi level is 11.9 states/eV per cell. As for the electronic total energy: -6.62 eV per atom. The size of the total moment comes out at 1.22 μB per formula unit.

***

3.
First-principles (PBE) data for crystalline HfTi7Ga2 at its relaxed geometry, as listed in the Alexandria database.

It has space group Cmmm (No. 65), with a = 7.272 Å, b = 12.969 Å, c = 4.553 Å, α = 90.00°, β = 90.00° and γ = 90.00°. The distinct sites, in fractional coordinates, are Hf at (0.000, 0.000, 0.000), Ti at (0.000, 0.222, 0.000), Ti at (0.000, 0.500, 0.500), Ti at (0.178, 0.119, 0.500) and Ga at (0.000, 0.303, 0.500).

The density of states at the Fermi level is 22.7 states/eV per cell. As for the electronic total energy: -6.68 eV per atom. The size of the total moment comes out at 0.00 μB per formula unit.

***

4.
First-principles (PBE) data for crystalline HfTi5Ga6 at its relaxed geometry, as listed in the Alexandria database.

It has space group Immm (No. 71), with a = 4.827 Å, b = 5.635 Å, c = 14.498 Å, α = 90.00°, β = 90.00° and γ = 90.00°. The distinct sites, in fractional coordinates, are Hf at (0.000, 0.000, 0.000), Ti at (0.000, 0.000, 0.334), Ti at (0.000, 0.500, 0.000), Ti at (0.000, 0.500, 0.337), Ga at (0.000, 0.238, 0.500) and Ga at (0.000, 0.256, 0.171).

The density of states at the Fermi level is 25.8 states/eV per cell. As for the electronic total energy: -5.97 eV per atom. The value obtained for the energy relative to the lowest polymorph listed for this composition is 1.36 eV per formula unit. The size of the total moment comes out at 0.00 μB per formula unit.

***

5.
First-principles (PBE) data for crystalline Hf2TiGa at its relaxed geometry, as listed in the Alexandria database.

It has space group P4/mmm (No. 123), with a = 3.476 Å, b = 3.476 Å, c = 6.356 Å, α = 90.00°, β = 90.00° and γ = 90.00°. The distinct sites, in fractional coordinates, are Hf at (0.000, 0.000, 0.249), Ti at (0.500, 0.500, 0.500) and Ga at (0.500, 0.500, 0.000).

The density of states at the Fermi level is 5.3 states/eV per cell. As for the electronic total energy: -7.90 eV per atom. The size of the total moment comes out at 0.87 μB per formula unit.

***

6.
First-principles (PBE) data for crystalline Hf3Ti2Ga2 at its relaxed geometry, as listed in the Alexandria database.

It has space group C2/m (No. 12), with a = 14.598 Å, b = 3.069 Å, c = 6.561 Å, α = 90.00°, β = 113.57° and γ = 90.00°. The distinct sites, in fractional coordinates, are Hf at (0.000, 0.000, 0.000), Hf at (0.215, 0.000, 0.274), Ti at (0.122, 0.000, 0.773) and Ga at (0.068, 0.500, 0.398).

The density of states at the Fermi level is 12.8 states/eV per cell. As for the electronic total energy: -7.46 eV per atom. The size of the total moment comes out at 0.00 μB per formula unit.

***

7.
First-principles (PBE) data for crystalline Hf2Ti2Ga3 at its relaxed geometry, as listed in the Alexandria database.

It has space group P-1 (No. 2), with a = 3.392 Å, b = 5.678 Å, c = 7.429 Å, α = 70.41°, β = 90.00° and γ = 72.67°. The distinct sites, in fractional coordinates, are Hf at (0.119, 0.263, 0.446), Ti at (0.385, 0.730, 0.205), Ga at (0.000, 0.500, 0.000) and Ga at (0.317, 0.867, 0.812).

The density of states at the Fermi level is 5.4 states/eV per cell. As for the electronic total energy: -6.66 eV per atom. The size of the total moment comes out at 0.00 μB per formula unit.

***

8.
First-principles (PBE) data for crystalline Hf5TiGa6 at its relaxed geometry, as listed in the Alexandria database.

It has space group C2/m (No. 12), with a = 7.211 Å, b = 9.319 Å, c = 7.036 Å, α = 90.00°, β = 99.41° and γ = 90.00°. The distinct sites, in fractional coordinates, are Hf at (0.000, 0.000, 0.000), Hf at (0.000, 0.171, 0.500), Hf at (0.000, 0.330, 0.000), Ti at (0.000, 0.500, 0.500), Ga at (0.244, 0.500, 0.257) and Ga at (0.246, 0.342, 0.746).

The density of states at the Fermi level is 13.8 states/eV per cell. As for the electronic total energy: -6.55 eV per atom. The size of the total moment comes out at 0.00 μB per formula unit.

***

9.
First-principles (PBE) data for crystalline HfTi7Ga5 at its relaxed geometry, as listed in the Alexandria database.

It has space group Imm2 (No. 44), with a = 5.234 Å, b = 9.207 Å, c = 9.110 Å, α = 90.00°, β = 90.00° and γ = 90.00°. The distinct sites, in fractional coordinates, are Hf at (0.000, 0.000, 0.000), Ti at (0.000, 0.000, 0.355), Ti at (0.000, 0.000, 0.636), Ti at (0.000, 0.311, 0.484), Ti at (0.000, 0.350, 0.987), Ti at (0.000, 0.500, 0.713), Ga at (0.000, 0.500, 0.250) and Ga at (0.250, 0.244, 0.235).

The density of states at the Fermi level is 22.8 states/eV per cell. As for the electronic total energy: -6.47 eV per atom. The size of the total moment comes out at 1.00 μB per formula unit.

***

10.
First-principles (PBE) data for crystalline Hf2TiGa at its relaxed geometry, as listed in the Alexandria database.

It has space group I-42d (No. 122), with a = 7.618 Å, b = 7.618 Å, c = 5.578 Å, α = 90.00°, β = 90.00° and γ = 90.00°. The distinct sites, in fractional coordinates, are Hf at (0.236, 0.750, 0.125), Ti at (0.000, 0.000, 0.500) and Ga at (0.000, 0.000, 0.000).

The density of states at the Fermi level is 12.8 states/eV per cell. As for the electronic total energy: -7.46 eV per atom. The size of the total moment comes out at 0.00 μB per formula unit.

***

11.
First-principles (PBE) data for crystalline Hf3Ti2Ga3 at its relaxed geometry, as listed in the Alexandria database.

It has space group Immm (No. 71), with a = 3.828 Å, b = 4.212 Å, c = 17.985 Å, α = 90.00°, β = 90.00° and γ = 90.00°. The distinct sites, in fractional coordinates, are Hf at (0.000, 0.000, 0.000), Hf at (0.000, 0.500, 0.125), Ti at (0.000, 0.000, 0.249), Ga at (0.000, 0.000, 0.500) and Ga at (0.000, 0.500, 0.364).

The density of states at the Fermi level is 10.9 states/eV per cell. As for the electronic total energy: -7.21 eV per atom. The value obtained for the energy relative to the lowest polymorph listed for this composition is 0.91 eV per formula unit. The size of the total moment comes out at 0.00 μB per formula unit.

***

12.
First-principles (PBE) data for crystalline HfTi4Ga2 at its relaxed geometry, as listed in the Alexandria database.

It has space group Pmmm (No. 47), with a = 2.839 Å, b = 6.615 Å, c = 6.633 Å, α = 90.00°, β = 90.00° and γ = 90.00°. The distinct sites, in fractional coordinates, are Hf at (0.000, 0.000, 0.000), Ti at (0.000, 0.296, 0.296), Ga at (0.500, 0.000, 0.500) and Ga at (0.500, 0.500, 0.000).

The density of states at the Fermi level is 8.3 states/eV per cell. As for the electronic total energy: -6.73 eV per atom. The value obtained for the energy relative to the lowest polymorph listed for this composition is 2.16 eV per formula unit. The size of the total moment comes out at 0.36 μB per formula unit.

***

13.
First-principles (PBE) data for crystalline Hf2TiGa2 at its relaxed geometry, as listed in the Alexandria database.

It has space group Immm (No. 71), with a = 3.939 Å, b = 5.757 Å, c = 8.214 Å, α = 90.00°, β = 90.00° and γ = 90.00°. The distinct sites, in fractional coordinates, are Hf at (0.000, 0.000, 0.204), Ti at (0.000, 0.500, 0.000) and Ga at (0.000, 0.282, 0.500).

The density of states at the Fermi level is 7.7 states/eV per cell. As for the electronic total energy: -7.17 eV per atom. The value obtained for the energy relative to the lowest polymorph listed for this composition is 0.18 eV per formula unit. The size of the total moment comes out at 0.00 μB per formula unit.

***

14.
First-principles (PBE) data for crystalline Hf2Ti3Ga4 at its relaxed geometry, as listed in the Alexandria database.

It has space group Cmce (No. 64), with a = 5.711 Å, b = 14.676 Å, c = 7.654 Å, α = 90.00°, β = 90.00° and γ = 90.00°. The distinct sites, in fractional coordinates, are Hf at (0.000, 0.114, 0.087), Ti at (0.000, 0.000, 0.500), Ti at (0.250, 0.210, 0.750), Ga at (0.000, 0.180, 0.445) and Ga at (0.250, 0.035, 0.750).

The density of states at the Fermi level is 29.5 states/eV per cell. As for the electronic total energy: -6.49 eV per atom. The value obtained for the energy relative to the lowest polymorph listed for this composition is 1.64 eV per formula unit. The size of the total moment comes out at 0.00 μB per formula unit.

***

15.
First-principles (PBE) data for crystalline HfTiGa4 at its relaxed geometry, as listed in the Alexandria database.

It has space group F-43m (No. 216), with a = 7.330 Å, b = 7.330 Å, c = 7.330 Å, α = 90.00°, β = 90.00° and γ = 90.00°. The distinct sites, in fractional coordinates, are Hf at (0.000, 0.000, 0.000), Ti at (0.250, 0.250, 0.750) and Ga at (0.125, 0.125, 0.375).

The density of states at the Fermi level is 10.3 states/eV per cell. As for the electronic total energy: -5.29 eV per atom. The value obtained for the energy relative to the lowest polymorph listed for this composition is 0.00 eV per formula unit. The size of the total moment comes out at 0.00 μB per formula unit.

***

16.
First-principles (PBE) data for crystalline HfTi5Ga7 at its relaxed geometry, as listed in the Alexandria database.

It has space group Imm2 (No. 44), with a = 5.644 Å, b = 8.992 Å, c = 9.027 Å, α = 90.00°, β = 90.00° and γ = 90.00°. The distinct sites, in fractional coordinates, are Hf at (0.000, 0.000, 0.000), Ti at (0.000, 0.500, 0.286), Ti at (0.247, 0.244, 0.778), Ga at (0.000, 0.000, 0.325), Ga at (0.000, 0.000, 0.692), Ga at (0.000, 0.306, 0.526), Ga at (0.000, 0.323, 0.030) and Ga at (0.000, 0.500, 0.772).

The density of states at the Fermi level is 22.7 states/eV per cell. As for the electronic total energy: -5.70 eV per atom. The size of the total moment comes out at 1.31 μB per formula unit.

***

17.
First-principles (PBE) data for crystalline Hf5Ti2Ga4 at its relaxed geometry, as listed in the Alexandria database.

It has space group Immm (No. 71), with a = 3.125 Å, b = 7.491 Å, c = 18.543 Å, α = 90.00°, β = 90.00° and γ = 90.00°. The distinct sites, in fractional coordinates, are Hf at (0.000, 0.000, 0.000), Hf at (0.000, 0.291, 0.349), Ti at (0.000, 0.500, 0.083), Ga at (0.000, 0.202, 0.500) and Ga at (0.000, 0.500, 0.224).

The density of states at the Fermi level is 24.8 states/eV per cell. As for the electronic total energy: -7.22 eV per atom. The size of the total moment comes out at 0.00 μB per formula unit.

***

18.
First-principles (PBE) data for crystalline HfTi3Ga at its relaxed geometry, as listed in the Alexandria database.

It has space group Pm-3m (No. 221), with a = 4.728 Å, b = 4.728 Å, c = 4.728 Å, α = 90.00°, β = 90.00° and γ = 90.00°. The distinct sites, in fractional coordinates, are Hf at (0.000, 0.000, 0.000), Ti at (0.000, 0.500, 0.500) and Ga at (0.500, 0.500, 0.500).

The density of states at the Fermi level is 10.3 states/eV per cell. As for the electronic total energy: -6.74 eV per atom. The value obtained for the energy relative to the lowest polymorph listed for this composition is 3.04 eV per formula unit. The size of the total moment comes out at 2.69 μB per formula unit.

***

19.
First-principles (PBE) data for crystalline Hf2TiGa at its relaxed geometry, as listed in the Alexandria database.

It has space group P4/mmm (No. 123), with a = 4.264 Å, b = 4.264 Å, c = 4.142 Å, α = 90.00°, β = 90.00° and γ = 90.00°. The distinct sites, in fractional coordinates, are Hf at (0.000, 0.500, 0.000), Ti at (0.000, 0.000, 0.500) and Ga at (0.500, 0.500, 0.500).

The density of states at the Fermi level is 3.2 states/eV per cell. As for the electronic total energy: -7.96 eV per atom. The size of the total moment comes out at 0.00 μB per formula unit.

***

20.
First-principles (PBE) data for crystalline Hf2TiGa2 at its relaxed geometry, as listed in the Alexandria database.

It has space group P4/mbm (No. 127), with a = 7.016 Å, b = 7.016 Å, c = 3.775 Å, α = 90.00°, β = 90.00° and γ = 90.00°. The distinct sites, in fractional coordinates, are Hf at (0.175, 0.325, 0.000), Ti at (0.000, 0.000, 0.500) and Ga at (0.127, 0.627, 0.500).

The density of states at the Fermi level is 10.7 states/eV per cell. As for the electronic total energy: -7.20 eV per atom. The value obtained for the energy relative to the lowest polymorph listed for this composition is 0.00 eV per formula unit. The size of the total moment comes out at 1.34 μB per formula unit.